The following is a GGA-PBEsol calculation of TcAs2Os after structural relaxation, from Alexandria.

Values from the calculation:
Electronic total energy, eV/atom: -7.911
ΔH_f (0 K), eV per atom: 0.513
Polymorph energy (0 for the lowest one), meV/atom: 421
Symmetry: Pmmm, No. 47

Geometry as POSCAR:
```
TcAs2Os
1.0
-1.865 -2.273 0.423
3.107 -2.413 0.732
-0.277 1.153 4.977
Os As Tc
1 2 1
Cartesian
0.621 -2.343 0.577
0.000 0.000 0.000
-1.071 -0.560 2.700
1.415 -0.630 2.854
```